Entry 1:
The following is a PBE calculation of a relaxed structure of Tm3Cu2Pd, from Alexandria.

```
data_Tm3Cu2Pd
_chemical_formula_sum 'Tm3 Cu2 Pd1'
_cell_length_a 3.419
_cell_length_b 3.419
_cell_length_c 10.417
_cell_angle_alpha 90.00
_cell_angle_beta 90.00
_cell_angle_gamma 90.00
_symmetry_space_group_name_H-M 'P 4/m m m'
_symmetry_Int_Tables_number 123
_symmetry_space_group_name_Hall '-P 4 2'
loop_
_atom_site_label
_atom_site_fract_x
_atom_site_fract_y
_atom_site_fract_z
_atom_site_occupancy
Tm1 0.000 0.000 0.000 1
Tm2 0.000 0.000 0.332 1
Cu1 0.500 0.500 0.165 1
Pd1 0.500 0.500 0.500 1
```

Properties
- magnetization (Bohr magnetons per cell) = 0.0
- formation enthalpy at 0 K (eV/atom) = -0.508
- V (Å³/atom) = 20.30
- excess energy over the best structure of this formula in the dataset (meV/atom) = 2.5

---

Entry 2:
The following is a PBE calculation of a relaxed structure of LaAgPF, from Alexandria.

```
data_LaAgPF
_chemical_formula_sum 'La2 Ag2 P2 F2'
_cell_length_a 4.058
_cell_length_b 4.058
_cell_length_c 8.973
_cell_angle_alpha 90.00
_cell_angle_beta 90.00
_cell_angle_gamma 90.00
_symmetry_space_group_name_H-M 'P 4/n m m'
_symmetry_Int_Tables_number 129
loop_
_symmetry_equiv_pos_as_xyz
'x,y,z'
'-x,-y,-z'
'-y+1/2,x,z'
'y+1/2,-x,-z'
'-x+1/2,-y+1/2,z'
'x+1/2,y+1/2,-z'
'y,-x+1/2,z'
'-y,x+1/2,-z'
'x+1/2,-y,-z'
'-x+1/2,y,z'
'-y,-x,-z'
'y,x,z'
'-x,y+1/2,-z'
'x,-y+1/2,z'
'y+1/2,x+1/2,-z'
'-y+1/2,-x+1/2,z'
loop_
_atom_site_label
_atom_site_fract_x
_atom_site_fract_y
_atom_site_fract_z
_atom_site_occupancy
La1 0.250 0.250 0.181 1
Ag1 0.250 0.750 0.500 1
P1 0.250 0.250 0.696 1
F1 0.250 0.750 0.000 1
```

Properties
- magnetization (Bohr magnetons per cell) = 0.0
- V (Å³/atom) = 18.47
- formation energy without anion corrections (eV/f.u.) = -7.65

---

Entry 3:
The following is a PBE calculation of a relaxed structure of RbAsNF2, from Alexandria.

```
data_RbAsNF2
_chemical_formula_sum 'Rb1 As1 N1 F2'
_cell_length_a 4.627
_cell_length_b 4.627
_cell_length_c 3.663
_cell_angle_alpha 90.00
_cell_angle_beta 90.00
_cell_angle_gamma 90.00
_symmetry_space_group_name_H-M 'P 4/m m m'
_symmetry_Int_Tables_number 123
_symmetry_space_group_name_Hall '-P 4 2'
loop_
_atom_site_label
_atom_site_fract_x
_atom_site_fract_y
_atom_site_fract_z
_atom_site_occupancy
Rb1 0.000 0.000 0.000 1
As1 0.500 0.500 0.500 1
N1 0.500 0.500 0.000 1
F1 0.000 0.500 0.500 1
```

Properties
- magnetization (Bohr magnetons per cell) = 0.0
- V (Å³/atom) = 15.69
- excess energy over the best structure of this formula in the dataset (meV/atom) = 0.0
- formation energy without anion corrections (eV/f.u.) = -5.46

---

Entry 4:
The following is a PBE calculation of a relaxed structure of CoCN, from Alexandria.

```
data_CoCN
_chemical_formula_sum 'Co2 C2 N2'
_cell_length_a 4.163
_cell_length_b 4.163
_cell_length_c 4.911
_cell_angle_alpha 90.00
_cell_angle_beta 90.00
_cell_angle_gamma 90.00
_symmetry_space_group_name_H-M 'I 4 m m'
_symmetry_Int_Tables_number 107
_symmetry_space_group_name_Hall 'I 4 -2'
loop_
_atom_site_label
_atom_site_fract_x
_atom_site_fract_y
_atom_site_fract_z
_atom_site_occupancy
Co1 0.000 0.000 0.000 1
C1 0.000 0.000 0.624 1
N1 0.000 0.000 0.380 1
```

Properties
- magnetization (Bohr magnetons per cell) = 4.0
- V (Å³/atom) = 14.18
- excess energy over the best structure of this formula in the dataset (meV/atom) = 415.0
- formation energy without anion corrections (eV/f.u.) = 2.36

---

Entry 5:
The following is a PBE calculation of a relaxed structure of ScPtSe2, from Alexandria.

```
data_ScPtSe2
_chemical_formula_sum 'Sc2 Pt2 Se4'
_cell_length_a 3.575
_cell_length_b 3.613
_cell_length_c 13.207
_cell_angle_alpha 90.00
_cell_angle_beta 90.00
_cell_angle_gamma 90.00
_symmetry_space_group_name_H-M 'I m m 2'
_symmetry_Int_Tables_number 44
loop_
_symmetry_equiv_pos_as_xyz
'x,y,z'
'-x,-y,z'
'-x,y,z'
'x,-y,z'
'x+1/2,y+1/2,z+1/2'
'-x+1/2,-y+1/2,z+1/2'
'-x+1/2,y+1/2,z+1/2'
'x+1/2,-y+1/2,z+1/2'
loop_
_atom_site_label
_atom_site_fract_x
_atom_site_fract_y
_atom_site_fract_z
_atom_site_occupancy
Sc1 0.000 0.000 0.000 1
Pt1 0.000 0.500 0.316 1
Se1 0.000 0.000 0.583 1
Se2 0.000 0.500 0.840 1
```

Properties
- magnetization (Bohr magnetons per cell) = 0.0
- V (Å³/atom) = 21.33
- excess energy over the best structure of this formula in the dataset (meV/atom) = 60.0
- formation energy without anion corrections (eV/f.u.) = -3.75

---

Entry 6:
The following is a PBE calculation of a relaxed structure of RhPbS2, from Alexandria.

```
data_RhPbS2
_chemical_formula_sum 'Rh3 Pb3 S6'
_cell_length_a 3.1478
_cell_length_b 3.1478
_cell_length_c 28.6775
_cell_angle_alpha 90.00
_cell_angle_beta 90.00
_cell_angle_gamma 120.00
_symmetry_space_group_name_H-M 'R -3 m'
_symmetry_Int_Tables_number 166
_symmetry_space_group_name_Hall '-R 3 2"'
loop_
_atom_site_label
_atom_site_fract_x
_atom_site_fract_y
_atom_site_fract_z
_atom_site_occupancy
Rh1 0.0000 0.0000 0.0000 1
Pb1 0.0000 0.0000 0.5000 1
S1 0.0000 0.0000 0.0769 1
```

Properties
- magnetization (Bohr magnetons per cell) = 0.0
- V (Å³/atom) = 20.51
- formation energy without anion corrections (eV/f.u.) = 1.47

---

Entry 7:
The following is a PBE calculation of a relaxed structure of Pu3TcRu2, from Alexandria.

```
data_Pu3TcRu2
_chemical_formula_sum 'Pu6 Tc2 Ru4'
_cell_length_a 4.686
_cell_length_b 14.845
_cell_length_c 3.335
_cell_angle_alpha 90.00
_cell_angle_beta 90.00
_cell_angle_gamma 90.00
_symmetry_space_group_name_H-M 'C m m m'
_symmetry_Int_Tables_number 65
_symmetry_space_group_name_Hall '-C 2 2'
loop_
_atom_site_label
_atom_site_fract_x
_atom_site_fract_y
_atom_site_fract_z
_atom_site_occupancy
Pu1 0.000 0.000 0.000 1
Pu2 0.000 0.335 0.000 1
Tc1 0.000 0.500 0.500 1
Ru1 0.000 0.174 0.500 1
```

Properties
- magnetization (Bohr magnetons per cell) = 7.6
- formation enthalpy at 0 K (eV/atom) = 0.002
- V (Å³/atom) = 19.33
- excess energy over the best structure of this formula in the dataset (meV/atom) = 0.0

---

Entry 8:
The following is a PBE calculation of a relaxed structure of GaPd3Ru, from Alexandria.

```
data_GaPd3Ru
_chemical_formula_sum 'Ga1 Pd3 Ru1'
_cell_length_a 4.588
_cell_length_b 4.588
_cell_length_c 4.588
_cell_angle_alpha 90.00
_cell_angle_beta 90.00
_cell_angle_gamma 90.00
_symmetry_space_group_name_H-M 'P m -3 m'
_symmetry_Int_Tables_number 221
_symmetry_space_group_name_Hall '-P 4 2 3'
loop_
_atom_site_label
_atom_site_fract_x
_atom_site_fract_y
_atom_site_fract_z
_atom_site_occupancy
Ga1 0.000 0.000 0.000 1
Pd1 0.000 0.000 0.500 1
Ru1 0.500 0.500 0.500 1
```

Properties
- magnetization (Bohr magnetons per cell) = 3.0
- formation enthalpy at 0 K (eV/atom) = 0.780
- V (Å³/atom) = 19.32

---

Entry 9:
The following is a PBE calculation of a relaxed structure of Ag3SF, from Alexandria.

```
data_Ag3SF
_chemical_formula_sum 'Ag12 S4 F4'
_cell_length_a 7.005
_cell_length_b 6.359
_cell_length_c 9.426
_cell_angle_alpha 90.00
_cell_angle_beta 117.39
_cell_angle_gamma 90.00
_symmetry_space_group_name_H-M 'P 1 21/c 1'
_symmetry_Int_Tables_number 14
loop_
_symmetry_equiv_pos_as_xyz
'x,y,z'
'-x,-y,-z'
'-x,y+1/2,-z+1/2'
'x,-y+1/2,z+1/2'
loop_
_atom_site_label
_atom_site_fract_x
_atom_site_fract_y
_atom_site_fract_z
_atom_site_occupancy
Ag1 0.025 0.089 0.251 1
Ag2 0.280 0.208 0.061 1
Ag3 0.373 0.640 0.026 1
S1 0.294 0.130 0.805 1
F1 0.161 0.653 0.584 1
```

Properties
- magnetization (Bohr magnetons per cell) = 0.0
- V (Å³/atom) = 18.64
- excess energy over the best structure of this formula in the dataset (meV/atom) = 0.0
- formation energy without anion corrections (eV/f.u.) = -2.13

---

Entry 10:
The following is a PBE calculation of a relaxed structure of Ce2HfGe, from Alexandria.

```
data_Ce2HfGe
_chemical_formula_sum 'Ce2 Hf1 Ge1'
_cell_length_a 4.268
_cell_length_b 4.268
_cell_length_c 4.878
_cell_angle_alpha 90.00
_cell_angle_beta 90.00
_cell_angle_gamma 90.00
_symmetry_space_group_name_H-M 'P 4/m m m'
_symmetry_Int_Tables_number 123
_symmetry_space_group_name_Hall '-P 4 2'
loop_
_atom_site_label
_atom_site_fract_x
_atom_site_fract_y
_atom_site_fract_z
_atom_site_occupancy
Ce1 0.000 0.500 0.000 1
Hf1 0.000 0.000 0.500 1
Ge1 0.500 0.500 0.500 1
```

Properties
- magnetization (Bohr magnetons per cell) = 0.0
- formation enthalpy at 0 K (eV/atom) = -0.323
- V (Å³/atom) = 22.22
- excess energy over the best structure of this formula in the dataset (meV/atom) = 0.0

---

Entry 11:
The following is a PBE calculation of a relaxed structure of Ca6AlZn5, from Alexandria.

```
data_Ca6AlZn5
_chemical_formula_sum 'Ca12 Al2 Zn10'
_cell_length_a 5.164
_cell_length_b 15.518
_cell_length_c 7.514
_cell_angle_alpha 90.00
_cell_angle_beta 90.00
_cell_angle_gamma 90.00
_symmetry_space_group_name_H-M 'C m m m'
_symmetry_Int_Tables_number 65
_symmetry_space_group_name_Hall '-C 2 2'
loop_
_atom_site_label
_atom_site_fract_x
_atom_site_fract_y
_atom_site_fract_z
_atom_site_occupancy
Ca1 0.000 0.000 0.245 1
Ca2 0.000 0.332 0.249 1
Al1 0.000 0.500 0.500 1
Zn1 0.000 0.159 0.500 1
Zn2 0.000 0.167 0.000 1
Zn3 0.000 0.500 0.000 1
```

Properties
- magnetization (Bohr magnetons per cell) = 0.0
- formation enthalpy at 0 K (eV/atom) = -0.234
- V (Å³/atom) = 25.09

---

Entry 12:
The following is a PBE calculation of a relaxed structure of AcLa2PaN4, from Alexandria.

```
data_AcLa2PaN4
_chemical_formula_sum 'Ac1 La2 Pa1 N4'
_cell_length_a 6.406
_cell_length_b 3.696
_cell_length_c 6.512
_cell_angle_alpha 90.00
_cell_angle_beta 109.44
_cell_angle_gamma 90.00
_symmetry_space_group_name_H-M 'P 1 2/m 1'
_symmetry_Int_Tables_number 10
loop_
_symmetry_equiv_pos_as_xyz
'x,y,z'
'-x,-y,-z'
'-x,y,-z'
'x,-y,z'
loop_
_atom_site_label
_atom_site_fract_x
_atom_site_fract_y
_atom_site_fract_z
_atom_site_occupancy
Ac1 0.000 0.000 0.000 1
La1 0.500 0.000 0.500 1
La2 0.500 0.500 0.000 1
Pa1 0.000 0.500 0.500 1
N1 0.219 0.000 0.711 1
N2 0.227 0.500 0.289 1
```

Properties
- magnetization (Bohr magnetons per cell) = 0.0
- V (Å³/atom) = 18.17
- formation energy without anion corrections (eV/f.u.) = -10.99

---

Entry 13:
The following is a PBE calculation of a relaxed structure of LaTbPm2P4, from Alexandria.

```
data_LaTbPm2P4
_chemical_formula_sum 'La1 Tb1 Pm2 P4'
_cell_length_a 7.174
_cell_length_b 4.145
_cell_length_c 7.175
_cell_angle_alpha 90.00
_cell_angle_beta 109.41
_cell_angle_gamma 90.00
_symmetry_space_group_name_H-M 'P 1 2/m 1'
_symmetry_Int_Tables_number 10
loop_
_symmetry_equiv_pos_as_xyz
'x,y,z'
'-x,-y,-z'
'-x,y,-z'
'x,-y,z'
loop_
_atom_site_label
_atom_site_fract_x
_atom_site_fract_y
_atom_site_fract_z
_atom_site_occupancy
La1 0.000 0.000 0.000 1
Tb1 0.500 0.500 0.000 1
Pm1 0.000 0.500 0.500 1
Pm2 0.500 0.000 0.500 1
P1 0.256 0.000 0.752 1
P2 0.256 0.500 0.252 1
```

Properties
- magnetization (Bohr magnetons per cell) = 0.0
- formation enthalpy at 0 K (eV/atom) = -1.566
- V (Å³/atom) = 25.15